[1]
# CoP

An optimized crystal structure of CoP (PBE, the Open Quantum Materials Database).

Results
Its energy is -52.22 eV per cell. The volume is 13.0 Å³/atom.

a b c (Å): 4.514 3.496 6.583
angles (deg): 90.00 90.00 90.00
Fractional positions:
1 Co 0.750 0.000 0.286
2 Co 0.000 0.500 0.500
3 Co 0.500 0.500 0.500
4 Co 0.250 0.000 0.714
5 P 0.750 0.500 0.085
6 P 0.250 0.000 0.355
7 P 0.750 0.000 0.645
8 P 0.250 0.500 0.915

***

[2]
# Pa3Co4P4

An optimized crystal structure of Pa3Co4P4 (PBE, the Open Quantum Materials Database).

Results
Its energy is -90.09 eV per cell. The volume is 15.4 Å³/atom.

a b c (Å): 11.856 11.856 11.856
angles (deg): 161.41 161.40 26.41
Fractional positions:
1 Co 0.250 0.250 0.000
2 Co 0.750 0.750 0.000
3 Co 0.600 0.100 0.500
4 Co 0.400 0.900 0.500
5 P 0.447 0.447 0.000
6 P 0.553 0.553 0.000
7 P 0.697 0.197 0.500
8 P 0.303 0.803 0.500
9 Pa 0.000 0.000 0.000
10 Pa 0.853 0.353 0.500
11 Pa 0.147 0.647 0.500

***

[3]
# PaCo4P2

An optimized crystal structure of PaCo4P2 (PBE, the Open Quantum Materials Database).

Results
Its energy is -50.42 eV per cell. The volume is 13.7 Å³/atom.

a b c (Å): 3.868 3.868 6.397
angles (deg): 90.00 90.00 90.00
Site moments in Bohr magnetons follow the coordinates.
Fractional positions:
1 Co 0.500 0.000 0.306  0.06
2 Co 0.000 0.500 0.306  0.07
3 Co 0.500 0.000 0.694  0.06
4 Co 0.000 0.500 0.694  0.07
5 P 0.000 0.000 0.000  0.01
6 P 0.500 0.500 0.500  0.00
7 Pa 0.500 0.500 0.000  -0.03